(1)
The following is a DFT calculation (GGA-PBE) of a relaxed RbLiTl2O4 crystal.

Properties
Formation energy from raw total energies ... -1041 meV/atom
Fermi-level density of states ... 0.560 states/eV/atom

Unit cell a=6.1109 b=6.1109 c=11.7474 alpha=90.00 beta=90.00 gamma=146.59
Sites, in units of the cell vectors:
1 Rb 0.0992 0.9008 0.7500
2 Rb 0.9008 0.0992 0.2500
3 Li 0.1735 0.8265 0.2500
4 Li 0.8265 0.1735 0.7500
5 Tl 0.3653 0.6347 0.5565
6 Tl 0.3653 0.6347 0.9435
7 Tl 0.6347 0.3653 0.0565
8 Tl 0.6347 0.3653 0.4435
9 O 0.0000 0.0000 0.0000
10 O 0.0000 0.0000 0.5000
11 O 0.2555 0.7445 0.1041
12 O 0.2555 0.7445 0.3959
13 O 0.4044 0.5956 0.7500
14 O 0.5956 0.4044 0.2500
15 O 0.7445 0.2555 0.6041
16 O 0.7445 0.2555 0.8959

---

(2)
The following is a DFT calculation (GGA-PBE) of a relaxed Sm2RuC crystal.

Properties
Fermi-level density of states ... 0.986 states/eV/atom
E above lowest polymorph ... 0.0000 eV/atom

Unit cell a=7.0790 b=7.0790 c=3.9297 alpha=106.05 beta=106.05 gamma=29.73
Sites, in units of the cell vectors:
1 Sm 0.1302 0.1302 0.1302
2 Sm 0.8698 0.8698 0.8698
3 Ru 0.5000 0.5000 0.5000
4 C 0.5000 0.5000 0.0000

---

(3)
The following is a DFT calculation (GGA-PBE) of a relaxed TbPm4Th3Se8 crystal.

Properties
Formation energy from raw total energies ... -1709 meV/atom
Fermi-level density of states ... 0.523 states/eV/atom

Unit cell a=8.4198 b=8.4198 c=8.4198 alpha=59.26 beta=59.26 gamma=59.26
Sites, in units of the cell vectors:
1 Tb 0.0000 0.0000 0.0000
2 Pm 0.0000 0.0000 0.5000
3 Pm 0.0000 0.5000 0.0000
4 Pm 0.5000 0.0000 0.0000
5 Pm 0.5000 0.5000 0.5000
6 Th 0.0000 0.5000 0.5000
7 Th 0.5000 0.0000 0.5000
8 Th 0.5000 0.5000 0.0000
9 Se 0.2448 0.7530 0.7530
10 Se 0.2470 0.2470 0.7552
11 Se 0.2470 0.7552 0.2470
12 Se 0.2486 0.2486 0.2486
13 Se 0.7514 0.7514 0.7514
14 Se 0.7530 0.2448 0.7530
15 Se 0.7530 0.7530 0.2448
16 Se 0.7552 0.2470 0.2470

---

(4)
The following is a DFT calculation (GGA-PBE) of a relaxed CeTmPt crystal.

Properties
Fermi-level density of states ... 2.453 states/eV/atom
E above lowest polymorph ... 0.0572 eV/atom

Unit cell a=4.8865 b=4.8865 c=4.8865 alpha=60.00 beta=60.00 gamma=60.00
Sites, in units of the cell vectors:
1 Ce 0.0000 0.0000 0.0000
2 Tm 0.5000 0.5000 0.5000
3 Pt 0.2500 0.2500 0.2500

---

(5)
The following is a DFT calculation (GGA-PBE) of a relaxed SrAgO2 crystal.

Properties
Formation energy from raw total energies ... -1475 meV/atom

Unit cell a=6.0433 b=6.0433 c=3.6456 alpha=90.49 beta=90.49 gamma=105.79
Sites, in units of the cell vectors:
1 Sr 0.0000 0.5000 0.0000
2 Sr 0.5000 0.0000 0.0000
3 Ag 0.0000 0.0000 0.5000
4 Ag 0.5000 0.5000 0.5000
5 O 0.2190 0.7810 0.5000
6 O 0.2507 0.2507 0.7905
7 O 0.7493 0.7493 0.2095
8 O 0.7810 0.2190 0.5000

---

(6)
The following is a DFT calculation (GGA-PBE) of a relaxed Na3Ce2PbSe6 crystal.

Properties
Formation energy from raw total energies ... -1388 meV/atom
Fermi-level density of states ... 0.528 states/eV/atom

Unit cell a=7.4689 b=7.4689 c=7.3690 alpha=99.78 beta=99.78 gamma=120.01
Sites, in units of the cell vectors:
1 Na 0.0000 0.0000 0.0000
2 Na 0.3388 0.6612 0.0000
3 Na 0.6612 0.3388 0.0000
4 Ce 0.1673 0.8327 0.5000
5 Ce 0.8327 0.1673 0.5000
6 Pb 0.5000 0.5000 0.5000
7 Se 0.0711 0.4212 0.2650
8 Se 0.2293 0.2293 0.7367
9 Se 0.4212 0.0711 0.2650
10 Se 0.5788 0.9289 0.7350
11 Se 0.7707 0.7707 0.2633
12 Se 0.9289 0.5788 0.7350